Entry 1:
PBE In2WAu, relaxed; E above lowest polymorph = 123.7 meV per atom; total energy = -19.84 eV for the cell shown; formation energy from the elements = 0.466 eV/atom; magnetization = 0.000 μB/atom
1.0
4.829 -1.485 0.000
4.829 1.485 0.000
-1.140 0.000 5.407
In W Au
2 1 1
Direct
0.250 0.250 0.243 In
0.750 0.750 0.757 In
0.500 0.500 0.000 W
0.000 0.000 0.500 Au


Entry 2:
PBE InW2Au, relaxed; total energy = -29.70 eV for the cell shown; formation energy from the elements = 0.556 eV/atom; magnetization = 0.000 μB/atom
1.0
-2.078 2.078 4.040
2.078 -2.078 4.040
2.078 2.078 -4.040
In W Au
1 2 1
Direct
0.000 0.000 0.000 In
0.250 0.750 0.500 W
0.500 0.500 0.000 W
0.750 0.250 0.500 Au


Entry 3:
PBE InW2Au, relaxed; total energy = -30.00 eV for the cell shown; formation energy from the elements = 0.480 eV/atom; magnetization = 0.000 μB/atom
1.0
2.793 0.000 0.000
0.000 4.274 0.000
0.000 0.000 5.969
In W Au
1 2 1
Direct
0.000 0.000 0.000 In
0.000 0.000 0.484 W
0.500 0.500 0.278 W
0.500 0.500 0.752 Au